Below is a geometry-optimized NaCrS2 structure, with properties calculated at the GGA-PBEsol level.

Unit cell a=3.539 b=3.539 c=6.722 alpha=74.74 beta=74.74 gamma=60.00
Positions (direct):
Cr 0.000 0.000 0.000
S 0.268 0.268 0.197
S 0.732 0.732 0.803
Na 0.500 0.500 0.500

Formation energy from raw total energies, kcal/mol of atoms: -21.5
Space group: R-3m
Density, g/cm3: 3.33